#1
# ScRuAu, optimized geometry, DFT GGA-PBE
data_ScRuAu
_cell_length_a 4.4219
_cell_length_b 4.4219
_cell_length_c 4.4219
_cell_angle_alpha 60.00
_cell_angle_beta 60.00
_cell_angle_gamma 60.00
_space_group_name_H-M_alt 'P 1'
_space_group_IT_number 1
loop_
_space_group_symop_operation_xyz
'x,y,z'
loop_
_atom_site_label
_atom_site_fract_x
_atom_site_fract_y
_atom_site_fract_z
_atom_site_occupancy
Ru1 0.7500 0.7500 0.7500 1
Sc1 0.0000 0.0000 0.0000 1
Au1 0.5000 0.5000 0.5000 1
# * V: 20.38 Å³/atom
# * SG: F-43m (216)


#2
# ScRuAu, optimized geometry, DFT GGA-PBE
data_ScRuAu
_cell_length_a 4.4497
_cell_length_b 4.4497
_cell_length_c 3.0230
_cell_angle_alpha 90.00
_cell_angle_beta 90.00
_cell_angle_gamma 120.00
_space_group_name_H-M_alt 'P 1'
_space_group_IT_number 1
loop_
_space_group_symop_operation_xyz
'x,y,z'
loop_
_atom_site_label
_atom_site_fract_x
_atom_site_fract_y
_atom_site_fract_z
_atom_site_occupancy
Au1 0.0000 0.0000 0.0001 1
Ru1 0.6667 0.3333 0.5003 1
Sc1 0.3333 0.6667 0.4995 1
# * V: 17.28 Å³/atom
# * SG: P-6m2 (187)


#3
# ScRuAu, optimized geometry, DFT GGA-PBE
data_ScRuAu
_cell_length_a 4.3771
_cell_length_b 4.3771
_cell_length_c 4.3771
_cell_angle_alpha 60.00
_cell_angle_beta 60.00
_cell_angle_gamma 60.00
_space_group_name_H-M_alt 'P 1'
_space_group_IT_number 1
loop_
_space_group_symop_operation_xyz
'x,y,z'
loop_
_atom_site_label
_atom_site_fract_x
_atom_site_fract_y
_atom_site_fract_z
_atom_site_occupancy
Ru1 0.5000 0.5000 0.5000 1
Sc1 0.7500 0.7500 0.7500 1
Au1 0.0000 0.0000 0.0000 1
# * V: 19.77 Å³/atom
# * SG: F-43m (216)


#4
# ScRuAu, optimized geometry, DFT GGA-PBE
data_ScRuAu
_cell_length_a 5.2787
_cell_length_b 5.2787
_cell_length_c 3.3244
_cell_angle_alpha 71.65
_cell_angle_beta 71.65
_cell_angle_gamma 36.71
_space_group_name_H-M_alt 'P 1'
_space_group_IT_number 1
loop_
_space_group_symop_operation_xyz
'x,y,z'
loop_
_atom_site_label
_atom_site_fract_x
_atom_site_fract_y
_atom_site_fract_z
_atom_site_occupancy
Ru1 0.3217 0.3217 0.6783 1
Sc1 0.6787 0.6787 0.3213 1
Au1 0.9996 0.9996 0.0004 1
# * V: 17.41 Å³/atom
# * SG: I4mm (107)


Which one is most stable, and which one is least stable? #4 is the most stable of them, while #3 is the least stable.


#1
# ScRu2Au, optimized geometry, DFT GGA-PBE
data_ScRu2Au
_cell_length_a 9.1913
_cell_length_b 9.1913
_cell_length_c 9.1913
_cell_angle_alpha 18.21
_cell_angle_beta 18.21
_cell_angle_gamma 18.21
_space_group_name_H-M_alt 'P 1'
_space_group_IT_number 1
loop_
_space_group_symop_operation_xyz
'x,y,z'
loop_
_atom_site_label
_atom_site_fract_x
_atom_site_fract_y
_atom_site_fract_z
_atom_site_occupancy
Sc1 0.5036 0.5036 0.5036 1
Ru1 0.9936 0.9936 0.9936 1
Ru2 0.2537 0.2537 0.2537 1
Au1 0.7491 0.7491 0.7491 1
# * V: 16.56 Å³/atom
# * SG: R3m (160)


#2
# ScRu2Au, optimized geometry, DFT GGA-PBE
data_ScRu2Au
_cell_length_a 3.3659
_cell_length_b 3.3659
_cell_length_c 5.8746
_cell_angle_alpha 90.00
_cell_angle_beta 90.00
_cell_angle_gamma 90.00
_space_group_name_H-M_alt 'P 1'
_space_group_IT_number 1
loop_
_space_group_symop_operation_xyz
'x,y,z'
loop_
_atom_site_label
_atom_site_fract_x
_atom_site_fract_y
_atom_site_fract_z
_atom_site_occupancy
Ru1 0.0000 0.0000 0.0327 1
Ru2 0.5000 0.5000 0.2254 1
Au1 0.5000 0.5000 0.7503 1
Sc1 0.0000 0.0000 0.4916 1
# * V: 16.64 Å³/atom
# * SG: P4mm (99)


Which one is most stable, and which one is least stable? #2 is the most stable of them, while #1 is the least stable.


#1
# ScRu2Au, optimized geometry, DFT GGA-PBE
data_ScRu2Au
_cell_length_a 4.8988
_cell_length_b 4.8988
_cell_length_c 4.8988
_cell_angle_alpha 131.73
_cell_angle_beta 131.73
_cell_angle_gamma 70.65
_space_group_name_H-M_alt 'P 1'
_space_group_IT_number 1
loop_
_space_group_symop_operation_xyz
'x,y,z'
loop_
_atom_site_label
_atom_site_fract_x
_atom_site_fract_y
_atom_site_fract_z
_atom_site_occupancy
Ru1 0.0000 0.0000 0.0000 1
Ru2 0.2500 0.7500 0.5000 1
Sc1 0.5000 0.5000 0.0000 1
Au1 0.7500 0.2500 0.5000 1
# * V: 16.04 Å³/atom
# * SG: I-4m2 (119)


#2
# ScRu2Au, optimized geometry, DFT GGA-PBE
data_ScRu2Au
_cell_length_a 4.8561
_cell_length_b 4.8561
_cell_length_c 4.8707
_cell_angle_alpha 78.83
_cell_angle_beta 78.83
_cell_angle_gamma 35.36
_space_group_name_H-M_alt 'P 1'
_space_group_IT_number 1
loop_
_space_group_symop_operation_xyz
'x,y,z'
loop_
_atom_site_label
_atom_site_fract_x
_atom_site_fract_y
_atom_site_fract_z
_atom_site_occupancy
Au1 0.2500 0.2500 0.2500 1
Ru1 0.4981 0.4981 0.5128 1
Ru2 0.0019 0.0019 0.9872 1
Sc1 0.7500 0.7500 0.7500 1
# * V: 16.27 Å³/atom
# * SG: C2/m (12)


Which one is most stable, and which one is least stable? #1 is the most stable of them, while #2 is the least stable.


#1
# ScRu2Au, optimized geometry, DFT GGA-PBE
data_ScRu2Au
_cell_length_a 2.9142
_cell_length_b 4.0445
_cell_length_c 5.6022
_cell_angle_alpha 90.00
_cell_angle_beta 90.00
_cell_angle_gamma 90.00
_space_group_name_H-M_alt 'P 1'
_space_group_IT_number 1
loop_
_space_group_symop_operation_xyz
'x,y,z'
loop_
_atom_site_label
_atom_site_fract_x
_atom_site_fract_y
_atom_site_fract_z
_atom_site_occupancy
Ru1 0.0000 0.0000 0.4748 1
Ru2 0.0000 0.0000 0.0252 1
Sc1 0.5000 0.5000 0.2500 1
Au1 0.5000 0.5000 0.7500 1
# * V: 16.51 Å³/atom
# * SG: Pmmm (47)


#2
# ScRu2Au, optimized geometry, DFT GGA-PBE
data_ScRu2Au
_cell_length_a 4.7050
_cell_length_b 2.9785
_cell_length_c 4.8103
_cell_angle_alpha 87.80
_cell_angle_beta 90.00
_cell_angle_gamma 90.00
_space_group_name_H-M_alt 'P 1'
_space_group_IT_number 1
loop_
_space_group_symop_operation_xyz
'x,y,z'
loop_
_atom_site_label
_atom_site_fract_x
_atom_site_fract_y
_atom_site_fract_z
_atom_site_occupancy
Ru1 0.0000 0.9106 0.0116 1
Ru2 0.0000 0.5894 0.4884 1
Sc1 0.5000 0.2500 0.2500 1
Au1 0.5000 0.7500 0.7500 1
# * V: 16.84 Å³/atom
# * SG: P2/m (10)


#3
# ScRu2Au, optimized geometry, DFT GGA-PBE
data_ScRu2Au
_cell_length_a 2.8158
_cell_length_b 2.8158
_cell_length_c 8.9462
_cell_angle_alpha 90.00
_cell_angle_beta 90.00
_cell_angle_gamma 113.03
_space_group_name_H-M_alt 'P 1'
_space_group_IT_number 1
loop_
_space_group_symop_operation_xyz
'x,y,z'
loop_
_atom_site_label
_atom_site_fract_x
_atom_site_fract_y
_atom_site_fract_z
_atom_site_occupancy
Ru1 0.0000 0.0000 0.4881 1
Ru2 0.0000 0.0000 0.0119 1
Sc1 0.5000 0.5000 0.2500 1
Au1 0.5000 0.5000 0.7500 1
# * V: 16.32 Å³/atom
# * SG: Cmmm (65)


Which one is most stable, and which one is least stable? #2 is the most stable of them, while #3 is the least stable.


#1
# ScRu2Au, optimized geometry, DFT GGA-PBE
data_ScRu2Au
_cell_length_a 3.2908
_cell_length_b 3.2908
_cell_length_c 6.0177
_cell_angle_alpha 90.00
_cell_angle_beta 90.00
_cell_angle_gamma 90.00
_space_group_name_H-M_alt 'P 1'
_space_group_IT_number 1
loop_
_space_group_symop_operation_xyz
'x,y,z'
loop_
_atom_site_label
_atom_site_fract_x
_atom_site_fract_y
_atom_site_fract_z
_atom_site_occupancy
Sc1 0.5000 0.5000 0.2500 1
Ru1 0.0000 0.0000 0.0082 1
Ru2 0.0000 0.0000 0.4918 1
Au1 0.5000 0.5000 0.7500 1
# * V: 16.29 Å³/atom
# * SG: P4/mmm (123)


#2
# ScRu2Au, optimized geometry, DFT GGA-PBE
data_ScRu2Au
_cell_length_a 3.9945
_cell_length_b 3.9952
_cell_length_c 3.9952
_cell_angle_alpha 90.00
_cell_angle_beta 90.00
_cell_angle_gamma 90.00
_space_group_name_H-M_alt 'P 1'
_space_group_IT_number 1
loop_
_space_group_symop_operation_xyz
'x,y,z'
loop_
_atom_site_label
_atom_site_fract_x
_atom_site_fract_y
_atom_site_fract_z
_atom_site_occupancy
Ru1 0.0000 0.5000 0.5000 1
Ru2 0.0000 0.0000 0.0000 1
Sc1 0.5000 0.5000 0.0000 1
Au1 0.5000 0.0000 0.5000 1
# * V: 15.94 Å³/atom
# * SG: P4/mmm (123)


Which one is most stable, and which one is least stable? #2 is the most stable of them, while #1 is the least stable.


#1
# ScRu2Au, optimized geometry, DFT GGA-PBE
data_ScRu2Au
_cell_length_a 4.9387
_cell_length_b 4.9387
_cell_length_c 4.7498
_cell_angle_alpha 77.96
_cell_angle_beta 77.96
_cell_angle_gamma 35.18
_space_group_name_H-M_alt 'P 1'
_space_group_IT_number 1
loop_
_space_group_symop_operation_xyz
'x,y,z'
loop_
_atom_site_label
_atom_site_fract_x
_atom_site_fract_y
_atom_site_fract_z
_atom_site_occupancy
Au1 0.2545 0.2545 0.2589 1
Ru1 0.7425 0.7425 0.7842 1
Ru2 0.0061 0.0061 0.9605 1
Sc1 0.4969 0.4969 0.4963 1
# * V: 16.28 Å³/atom
# * SG: Cm (8)


#2
# ScRu2Au, optimized geometry, DFT GGA-PBE
data_ScRu2Au
_cell_length_a 2.8716
_cell_length_b 2.8716
_cell_length_c 7.9605
_cell_angle_alpha 90.00
_cell_angle_beta 90.00
_cell_angle_gamma 90.00
_space_group_name_H-M_alt 'P 1'
_space_group_IT_number 1
loop_
_space_group_symop_operation_xyz
'x,y,z'
loop_
_atom_site_label
_atom_site_fract_x
_atom_site_fract_y
_atom_site_fract_z
_atom_site_occupancy
Sc1 0.5000 0.5000 0.2500 1
Au1 0.5000 0.5000 0.7500 1
Ru1 0.0000 0.0000 0.5005 1
Ru2 0.0000 0.0000 0.9995 1
# * V: 16.41 Å³/atom
# * SG: P4/mmm (123)


#3
# ScRu2Au, optimized geometry, DFT GGA-PBE
data_ScRu2Au
_cell_length_a 5.3721
_cell_length_b 5.3721
_cell_length_c 5.3721
_cell_angle_alpha 146.21
_cell_angle_beta 129.65
_cell_angle_gamma 62.02
_space_group_name_H-M_alt 'P 1'
_space_group_IT_number 1
loop_
_space_group_symop_operation_xyz
'x,y,z'
loop_
_atom_site_label
_atom_site_fract_x
_atom_site_fract_y
_atom_site_fract_z
_atom_site_occupancy
Sc1 0.2500 0.7500 0.5000 1
Ru1 0.4869 0.4869 0.0000 1
Ru2 0.0131 0.0131 0.0000 1
Au1 0.7500 0.2500 0.5000 1
# * V: 16.43 Å³/atom
# * SG: Immm (71)


#4
# ScRu2Au, optimized geometry, DFT GGA-PBE
data_ScRu2Au
_cell_length_a 4.5153
_cell_length_b 4.5153
_cell_length_c 4.5153
_cell_angle_alpha 60.00
_cell_angle_beta 60.00
_cell_angle_gamma 60.00
_space_group_name_H-M_alt 'P 1'
_space_group_IT_number 1
loop_
_space_group_symop_operation_xyz
'x,y,z'
loop_
_atom_site_label
_atom_site_fract_x
_atom_site_fract_y
_atom_site_fract_z
_atom_site_occupancy
Ru1 0.2500 0.2500 0.2500 1
Ru2 0.7500 0.7500 0.7500 1
Au1 0.5000 0.5000 0.5000 1
Sc1 0.0000 0.0000 0.0000 1
# * V: 16.27 Å³/atom
# * SG: Fm-3m (225)


Which one is most stable, and which one is least stable? #1 is the most stable of them, while #2 is the least stable.